[1]
The following is a DFT calculation (GGA-PBEsol) of crystalline MgRuW2 at its relaxed geometry.

Output
formation enthalpy at 0 K	0.39	eV per atom
density	13.1	Mg/m³
crystal system	orthorhombic
calculated volume	62.6	Å³/cell

Structure (POSCAR):
```
MgRuW2
1.0
2.701 -0.005 0.000
-0.987 2.514 0.000
0.000 0.000 9.227
Mg Ru W
1 1 2
Direct
0.500 0.500 0.500
0.500 0.500 0.000
0.000 0.000 0.235
0.000 0.000 0.765
```

[2]
The following is a DFT calculation (GGA-PBEsol) of crystalline MgRu2W at its relaxed geometry.

Output
formation enthalpy at 0 K	0.14	eV per atom
density	11.4	Mg/m³
crystal system	trigonal
calculated volume	59.6	Å³/cell

Structure (POSCAR):
```
MgRu2W
1.0
-0.625 -1.532 2.262
-1.201 -2.514 -0.299
7.311 -5.090 0.309
Mg Ru W
1 2 1
Direct
0.000 0.000 0.000
0.247 0.247 0.260
0.753 0.753 0.740
0.500 0.500 0.500
```

[3]
The following is a DFT calculation (GGA-PBEsol) of crystalline Mg2RuW at its relaxed geometry.

Output
formation enthalpy at 0 K	0.28	eV per atom
density	8.5	Mg/m³
crystal system	monoclinic
E above lowest polymorph	0	meV per atom
calculated volume	65.5	Å³/cell

Structure (POSCAR):
```
Mg2RuW
1.0
2.812 0.000 -0.015
0.000 4.319 0.000
-1.048 0.000 5.399
Mg Ru W
2 1 1
Direct
0.010 0.000 0.996
0.716 0.500 0.257
0.471 0.000 0.526
0.303 0.500 0.721
```